1) {"formula": "Tc2IrW", "functional": "SCAN", "state": "single point on PBEsol structure", "lattice_angstrom": [[2.728, 0.000, 0.000], [1.364, 2.362, 0.000], [1.364, 0.787, 9.000]], "species": ["Tc", "Tc", "Ir", "W"], "frac_coords": [[0.252, 0.252, 0.245], [0.748, 0.748, 0.755], [0.000, 0.000, 0.000], [0.500, 0.500, 0.500]], "total_magnetization_mub_per_atom": 0.0000, "space_group": "No. 166"}

=====

2) {"formula": "Tc2IrW", "functional": "SCAN", "state": "single point on PBEsol structure", "lattice_angstrom": [[2.711, 0.000, 0.000], [0.000, 2.711, 0.000], [0.000, 0.000, 7.881]], "species": ["Tc", "Tc", "Ir", "W"], "frac_coords": [[0.000, 0.000, 0.258], [0.000, 0.000, 0.742], [0.500, 0.500, 0.500], [0.500, 0.500, 0.000]], "total_magnetization_mub_per_atom": 0.0000, "space_group": "No. 123"}

=====

Relative energy table, unit kJ/mol of atoms: 1) 7.0; 2) 0.0